VASP calculation (PBE-GGA) on an optimized crystal structure of KSbO2.

## Properties
* space group: P4/mmm (123)
* density of states at the Fermi level: 0.015 states/eV per atom
* total magnetic moment: 0.0 Bohr magnetons per cell
* total energy: -4.63 eV per atom

Unit cell a=3.0641 b=3.0641 c=6.5242 alpha=90.00 beta=90.00 gamma=90.00
Sites, in units of the cell vectors:
K  0.5000  0.5000  0.5000
O  0.0000  0.0000  0.7957
O  0.0000  0.0000  0.2043
Sb  0.5000  0.5000  0.0000